## A
Here is TlSe2 after structural relaxation from Alexandria. Energies are from PBEsol.

a b c (Å): 5.5131 6.0186 9.6973
angles (deg): 90.00 90.00 90.00
Fractional coordinates of all 12 atoms:
Tl (0.2245, 0.2500, 0.1316)
Tl (0.2755, 0.7500, 0.6316)
Tl (0.7245, 0.2500, 0.3684)
Tl (0.7755, 0.7500, 0.8684)
Se (0.1188, 0.2500, 0.7423)
Se (0.2184, 0.2500, 0.5051)
Se (0.2816, 0.7500, 0.0051)
Se (0.3812, 0.7500, 0.2423)
Se (0.6188, 0.2500, 0.7577)
Se (0.7184, 0.2500, 0.9949)
Se (0.7816, 0.7500, 0.4949)
Se (0.8812, 0.7500, 0.2577)

Values from the calculation:
For the density of states at the Fermi level, the calculation gives 5.7 states/eV/cell. As for the crystal system: orthorhombic. For the density, the calculation gives 7.5 Mg/m³. As for the space group: Pnma, No. 62.

## B
Here is TlSe2 after structural relaxation from Alexandria. Energies are from PBEsol.

a b c (Å): 9.5525 4.1798 8.4474
angles (deg): 90.00 96.52 90.00
Fractional coordinates of all 12 atoms:
Tl (0.0299, 0.0000, 0.2424)
Tl (0.4701, 0.5000, 0.7576)
Tl (0.5299, 0.5000, 0.2424)
Tl (0.9701, 0.0000, 0.7576)
Se (0.1236, 0.5000, 0.4846)
Se (0.2040, 0.5000, 0.9342)
Se (0.2960, 0.0000, 0.0658)
Se (0.3764, 0.0000, 0.5154)
Se (0.6236, 0.0000, 0.4846)
Se (0.7040, 0.0000, 0.9342)
Se (0.7960, 0.5000, 0.0658)
Se (0.8764, 0.5000, 0.5154)

Values from the calculation:
For the density of states at the Fermi level, the calculation gives 3.9 states/eV/cell. As for the crystal system: monoclinic. For the density, the calculation gives 7.2 Mg/m³. As for the space group: C2/m, No. 12.

## C
Here is TlSe2 after structural relaxation from Alexandria. Energies are from PBEsol.

a b c (Å): 7.0598 7.0598 7.0598
angles (deg): 90.00 90.00 90.00
Fractional coordinates of all 12 atoms:
Tl (0.0000, 0.0000, 0.0000)
Tl (0.0000, 0.5000, 0.5000)
Tl (0.5000, 0.0000, 0.5000)
Tl (0.5000, 0.5000, 0.0000)
Se (0.0949, 0.5949, 0.9051)
Se (0.0949, 0.9051, 0.4051)
Se (0.4051, 0.0949, 0.9051)
Se (0.4051, 0.4051, 0.4051)
Se (0.5949, 0.5949, 0.5949)
Se (0.5949, 0.9051, 0.0949)
Se (0.9051, 0.0949, 0.5949)
Se (0.9051, 0.4051, 0.0949)

Values from the calculation:
For the density of states at the Fermi level, the calculation gives 4.5 states/eV/cell. As for the crystal system: cubic. For the density, the calculation gives 6.8 Mg/m³. As for the space group: Pa-3, No. 205.

On energetic grounds, C is preferred over the next structure by 23 meV/atom.

## A
Here is Tl2WSe after structural relaxation from Alexandria. Energies are from PBEsol.

a b c (Å): 3.3477 5.4253 4.9020
angles (deg): 90.00 92.61 90.00
Fractional coordinates of all 4 atoms:
Tl (0.2291, 0.0000, 0.2533)
Tl (0.7709, 0.0000, 0.7467)
W (0.5000, 0.5000, 0.5000)
Se (0.5000, 0.5000, 0.0000)

Values from the calculation:
For the density of states at the Fermi level, the calculation gives 2.2 states/eV/cell. As for the crystal system: monoclinic. For the density, the calculation gives 12.5 Mg/m³. As for the space group: P2/m, No. 10.

## B
Here is Tl2WSe after structural relaxation from Alexandria. Energies are from PBEsol.

a b c (Å): 3.1523 5.0235 5.2378
angles (deg): 90.00 90.00 90.00
Fractional coordinates of all 4 atoms:
Tl (0.0000, 0.0000, 0.0000)
Tl (0.5000, 0.5000, 0.0000)
W (0.0000, 0.5000, 0.5000)
Se (0.5000, 0.0000, 0.5000)

Values from the calculation:
For the density of states at the Fermi level, the calculation gives 2.9 states/eV/cell. As for the crystal system: orthorhombic. For the density, the calculation gives 13.4 Mg/m³. As for the space group: Pmmm, No. 47.

On energetic grounds, A is preferred over the next structure by 144 meV/atom.

## A
Here is TlW2Se after structural relaxation from Alexandria. Energies are from PBEsol.

a b c (Å): 3.0294 4.5685 5.5209
angles (deg): 90.00 105.49 90.00
Fractional coordinates of all 4 atoms:
Tl (0.0000, 0.0000, 0.0000)
W (0.2724, 0.0000, 0.5138)
W (0.6739, 0.5000, 0.3367)
Se (0.3537, 0.5000, 0.7118)

Values from the calculation:
For the density of states at the Fermi level, the calculation gives 3.3 states/eV/cell. As for the crystal system: monoclinic. For the density, the calculation gives 14.7 Mg/m³. As for the space group: Pm, No. 6.

## B
Here is TlW2Se after structural relaxation from Alexandria. Energies are from PBEsol.

a b c (Å): 3.9803 3.9803 4.5620
angles (deg): 90.00 90.00 90.00
Fractional coordinates of all 4 atoms:
Tl (0.0000, 0.0000, 0.0000)
W (0.0000, 0.5000, 0.5000)
W (0.5000, 0.0000, 0.5000)
Se (0.5000, 0.5000, 0.0000)

Values from the calculation:
For the density of states at the Fermi level, the calculation gives 3.1 states/eV/cell. As for the crystal system: tetragonal. For the density, the calculation gives 15.0 Mg/m³. As for the space group: P4/mmm, No. 123.

On energetic grounds, A is preferred over the next structure by 636 meV/atom.

## A
Here is TlZn2Se after structural relaxation from Alexandria. Energies are from PBEsol.

a b c (Å): 3.5879 5.9478 8.1126
angles (deg): 90.00 90.00 90.00
Fractional coordinates of all 8 atoms:
Tl (0.0000, 0.0000, 0.0000)
Tl (0.5000, 0.5000, 0.5000)
Zn (0.0000, 0.5000, 0.2250)
Zn (0.0000, 0.5000, 0.7750)
Zn (0.5000, 0.0000, 0.2750)
Zn (0.5000, 0.0000, 0.7250)
Se (0.0000, 0.0000, 0.5000)
Se (0.5000, 0.5000, 0.0000)

Values from the calculation:
For the density of states at the Fermi level, the calculation gives 2.4 states/eV/cell. As for the crystal system: orthorhombic. For the density, the calculation gives 7.9 Mg/m³. As for the space group: Immm, No. 71.

## B
Here is TlZn2Se after structural relaxation from Alexandria. Energies are from PBEsol.

a b c (Å): 6.9113 6.9113 6.9113
angles (deg): 90.00 90.00 90.00
Fractional coordinates of all 16 atoms:
Tl (0.0000, 0.0000, 0.0000)
Tl (0.0000, 0.5000, 0.5000)
Tl (0.5000, 0.0000, 0.5000)
Tl (0.5000, 0.5000, 0.0000)
Zn (0.2500, 0.2500, 0.2500)
Zn (0.2500, 0.2500, 0.7500)
Zn (0.2500, 0.7500, 0.2500)
Zn (0.2500, 0.7500, 0.7500)
Zn (0.7500, 0.2500, 0.2500)
Zn (0.7500, 0.2500, 0.7500)
Zn (0.7500, 0.7500, 0.2500)
Zn (0.7500, 0.7500, 0.7500)
Se (0.0000, 0.0000, 0.5000)
Se (0.0000, 0.5000, 0.0000)
Se (0.5000, 0.0000, 0.0000)
Se (0.5000, 0.5000, 0.5000)

Values from the calculation:
For the density of states at the Fermi level, the calculation gives 5.1 states/eV/cell. As for the crystal system: cubic. For the density, the calculation gives 8.3 Mg/m³. As for the space group: Fm-3m, No. 225.

## C
Here is TlZn2Se after structural relaxation from Alexandria. Energies are from PBEsol.

a b c (Å): 3.7844 3.9584 5.5840
angles (deg): 90.00 90.00 90.00
Fractional coordinates of all 4 atoms:
Tl (0.0000, 0.0000, 0.0000)
Zn (0.0000, 0.5000, 0.5000)
Zn (0.5000, 0.5000, 0.0000)
Se (0.5000, 0.0000, 0.5000)

Values from the calculation:
For the density of states at the Fermi level, the calculation gives 1.0 states/eV/cell. As for the crystal system: orthorhombic. For the density, the calculation gives 8.2 Mg/m³. As for the space group: Pmmm, No. 47.

On energetic grounds, A is preferred over the next structure by 37 meV/atom.

## A
Here is ZrTl2Se after structural relaxation from Alexandria. Energies are from PBEsol.

a b c (Å): 3.6417 5.7500 9.0712
angles (deg): 90.00 90.00 90.00
Fractional coordinates of all 8 atoms:
Zr (0.0000, 0.0000, 0.0000)
Zr (0.5000, 0.5000, 0.0000)
Tl (0.0000, 0.5000, 0.2610)
Tl (0.0000, 0.5000, 0.7390)
Tl (0.5000, 0.0000, 0.2610)
Tl (0.5000, 0.0000, 0.7390)
Se (0.0000, 0.0000, 0.5000)
Se (0.5000, 0.5000, 0.5000)

Values from the calculation:
For the density of states at the Fermi level, the calculation gives 8.4 states/eV/cell. As for the crystal system: orthorhombic. For the density, the calculation gives 10.1 Mg/m³. As for the space group: Cmmm, No. 65.

## B
Here is ZrTl2Se after structural relaxation from Alexandria. Energies are from PBEsol.

a b c (Å): 7.1409 7.1409 7.1409
angles (deg): 90.00 90.00 90.00
Fractional coordinates of all 16 atoms:
Zr (0.0000, 0.0000, 0.0000)
Zr (0.0000, 0.5000, 0.5000)
Zr (0.5000, 0.0000, 0.5000)
Zr (0.5000, 0.5000, 0.0000)
Tl (0.0000, 0.0000, 0.5000)
Tl (0.0000, 0.5000, 0.0000)
Tl (0.2500, 0.2500, 0.7500)
Tl (0.2500, 0.7500, 0.2500)
Tl (0.5000, 0.0000, 0.0000)
Tl (0.5000, 0.5000, 0.5000)
Tl (0.7500, 0.2500, 0.2500)
Tl (0.7500, 0.7500, 0.7500)
Se (0.2500, 0.2500, 0.2500)
Se (0.2500, 0.7500, 0.7500)
Se (0.7500, 0.2500, 0.7500)
Se (0.7500, 0.7500, 0.2500)

Values from the calculation:
For the density of states at the Fermi level, the calculation gives 9.2 states/eV/cell. As for the crystal system: cubic. For the density, the calculation gives 10.6 Mg/m³. As for the space group: F-43m, No. 216.

## C
Here is ZrTl2Se after structural relaxation from Alexandria. Energies are from PBEsol.

a b c (Å): 3.5750 5.9992 4.4846
angles (deg): 90.00 90.46 90.00
Fractional coordinates of all 4 atoms:
Zr (0.0000, 0.0000, 0.0000)
Tl (0.2489, 0.5000, 0.2484)
Tl (0.7511, 0.5000, 0.7516)
Se (0.5000, 0.0000, 0.5000)

Values from the calculation:
For the density of states at the Fermi level, the calculation gives 2.6 states/eV/cell. As for the crystal system: monoclinic. For the density, the calculation gives 10.0 Mg/m³. As for the space group: P2/m, No. 10.

## D
Here is ZrTl2Se after structural relaxation from Alexandria. Energies are from PBEsol.

a b c (Å): 5.7989 10.9435 3.6259
angles (deg): 90.00 125.47 90.00
Fractional coordinates of all 8 atoms:
Zr (0.0000, 0.0000, 0.0000)
Zr (0.5000, 0.5000, 0.0000)
Tl (0.2500, 0.2500, 0.5000)
Tl (0.2500, 0.7500, 0.5000)
Tl (0.7500, 0.2500, 0.5000)
Tl (0.7500, 0.7500, 0.5000)
Se (0.0000, 0.5000, 0.0000)
Se (0.5000, 0.0000, 0.0000)

Values from the calculation:
For the density of states at the Fermi level, the calculation gives 5.4 states/eV/cell. As for the crystal system: monoclinic. For the density, the calculation gives 10.3 Mg/m³. As for the space group: C2/m, No. 12.

On energetic grounds, D is preferred over the next structure by 32 meV/atom.

## A
Here is W3Se after structural relaxation from Alexandria. Energies are from PBEsol.

a b c (Å): 8.7424 8.7424 2.8717
angles (deg): 90.00 90.00 120.00
Fractional coordinates of all 12 atoms:
W (0.0000, 0.5000, 0.0000)
W (0.1667, 0.3333, 0.3333)
W (0.1667, 0.8333, 0.3333)
W (0.3333, 0.1667, 0.6667)
W (0.5000, 0.0000, 0.0000)
W (0.5000, 0.5000, 0.0000)
W (0.6667, 0.8333, 0.3333)
W (0.8333, 0.1667, 0.6667)
W (0.8333, 0.6667, 0.6667)
Se (0.0000, 0.0000, 0.0000)
Se (0.3333, 0.6667, 0.6667)
Se (0.6667, 0.3333, 0.3333)

Values from the calculation:
For the density of states at the Fermi level, the calculation gives 10.2 states/eV/cell. As for the crystal system: trigonal. For the density, the calculation gives 16.5 Mg/m³. As for the space group: R-3m, No. 166.

## B
Here is W3Se after structural relaxation from Alexandria. Energies are from PBEsol.

a b c (Å): 3.0429 3.0429 7.9424
angles (deg): 90.00 90.00 120.00
Fractional coordinates of all 4 atoms:
W (0.0000, 0.0000, 0.0000)
W (0.3333, 0.6667, 0.2660)
W (0.3333, 0.6667, 0.7340)
Se (0.0000, 0.0000, 0.5000)

Values from the calculation:
For the density of states at the Fermi level, the calculation gives 2.8 states/eV/cell. As for the crystal system: hexagonal. For the density, the calculation gives 16.4 Mg/m³. As for the space group: P-6m2, No. 187.

On energetic grounds, B is preferred over the next structure by 254 meV/atom.

## A
Here is WSe3 after structural relaxation from Alexandria. Energies are from PBEsol.

a b c (Å): 2.6275 3.2024 9.8307
angles (deg): 90.00 90.15 90.00
Fractional coordinates of all 4 atoms:
W (0.0000, 0.0000, 0.0000)
Se (0.0000, 0.0000, 0.5000)
Se (0.0024, 0.5000, 0.2016)
Se (0.9976, 0.5000, 0.7984)

Values from the calculation:
For the density of states at the Fermi level, the calculation gives 2.9 states/eV/cell. As for the crystal system: monoclinic. For the density, the calculation gives 8.4 Mg/m³. As for the space group: P2/m, No. 10.

## B
Here is WSe3 after structural relaxation from Alexandria. Energies are from PBEsol.

a b c (Å): 5.0165 8.5632 3.3785
angles (deg): 90.00 90.00 90.00
Fractional coordinates of all 8 atoms:
W (0.0000, 0.0000, 0.0000)
W (0.5000, 0.5000, 0.0000)
Se (0.0000, 0.5000, 0.0000)
Se (0.2500, 0.2500, 0.5000)
Se (0.2500, 0.7500, 0.5000)
Se (0.5000, 0.0000, 0.0000)
Se (0.7500, 0.2500, 0.5000)
Se (0.7500, 0.7500, 0.5000)

Values from the calculation:
For the density of states at the Fermi level, the calculation gives 4.7 states/eV/cell. As for the crystal system: orthorhombic. For the density, the calculation gives 9.6 Mg/m³. As for the space group: Cmmm, No. 65.

On energetic grounds, A is preferred over the next structure by 519 meV/atom.

## A
Here is WSe3 after structural relaxation from Alexandria. Energies are from PBEsol.

a b c (Å): 3.8281 3.8281 23.0597
angles (deg): 90.00 90.00 90.00
Fractional coordinates of all 16 atoms:
W (0.0000, 0.0000, 0.1806)
W (0.0000, 0.0000, 0.8194)
W (0.5000, 0.5000, 0.3194)
W (0.5000, 0.5000, 0.6806)
Se (0.0000, 0.0000, 0.3679)
Se (0.0000, 0.0000, 0.6321)
Se (0.0000, 0.5000, 0.0000)
Se (0.0000, 0.5000, 0.2500)
Se (0.0000, 0.5000, 0.5000)
Se (0.0000, 0.5000, 0.7500)
Se (0.5000, 0.0000, 0.0000)
Se (0.5000, 0.0000, 0.2500)
Se (0.5000, 0.0000, 0.5000)
Se (0.5000, 0.0000, 0.7500)
Se (0.5000, 0.5000, 0.1321)
Se (0.5000, 0.5000, 0.8679)

Values from the calculation:
For the density of states at the Fermi level, the calculation gives 14.5 states/eV/cell. As for the crystal system: tetragonal. For the density, the calculation gives 8.3 Mg/m³. As for the space group: I4/mmm, No. 139.

## B
Here is WSe3 after structural relaxation from Alexandria. Energies are from PBEsol.

a b c (Å): 2.9777 2.9777 9.2091
angles (deg): 90.00 90.00 90.00
Fractional coordinates of all 4 atoms:
W (0.0000, 0.0000, 0.0000)
Se (0.0000, 0.0000, 0.5000)
Se (0.5000, 0.5000, 0.1719)
Se (0.5000, 0.5000, 0.8281)

Values from the calculation:
For the density of states at the Fermi level, the calculation gives 2.3 states/eV/cell. As for the crystal system: tetragonal. For the density, the calculation gives 8.6 Mg/m³. As for the space group: P4/mmm, No. 123.

On energetic grounds, B is preferred over the next structure by 543 meV/atom.